KRb3V2O6 | the Alexandria database | GGA+U | relaxed; symmetry = P-3m1 (164); DFT total energy = -69.29 eV/cell
1.0
-2.1147 2.1497 -5.7866
-3.5816 -4.2611 3.4049
-3.6302 5.8471 3.4988
K Rb V O
1 3 2 6
direct
0.0000 0.0000 0.5000
0.3333 0.6667 0.7039
0.6667 0.3333 0.2961
0.0000 0.0000 0.0000
0.6667 0.3333 0.7644
0.3333 0.6667 0.2356
0.6362 0.8181 0.2654
0.1819 0.3638 0.2654
0.1819 0.8181 0.2654
0.8181 0.6362 0.7346
0.3638 0.1819 0.7346
0.8181 0.1819 0.7346